DFT (GGA-PBE) results for a relaxed structure of RbBa2InAu.

Summary:
The theoretical density comes out at 4.8 Mg/m³. The value obtained for the formation energy is -0.23 eV per atom.

abc: 6.527 6.527 5.485
angles: 90.00 90.00 90.00
Site moments in Bohr magnetons follow the coordinates.
Atoms (fractional coordinates):
In  0.000  0.000  0.500  0.03
Au  0.000  0.000  0.000  0.01
Ba  0.000  0.500  0.000  0.05
Ba  0.500  0.000  0.000  0.05
Rb  0.500  0.500  0.500  0.02